A plane-wave DFT calculation with GGA-PBE was carried out for an optimized crystal structure of CaNd5Ho.

abc: 10.0808 6.7060 12.2887
angles: 73.90 90.00 138.73
Last column: nearest neighbours and their distance in Å.
Element x y z (fractional)
Ca 0.4976 0.0000 0.2500  9 Nd 3.54-3.69
Ca 0.5024 0.0000 0.7500  9 Nd 3.54-3.69
Nd 0.0236 0.4125 0.1614  4 Nd 3.37-3.72, 2 Ca 3.64-3.69, 1 Ho 3.70
Nd 0.7705 0.2256 0.4632  4 Nd 3.33-3.66, 2 Ca 3.56-3.59, 1 Ho 3.57
Nd 0.3889 0.4125 0.6614  4 Nd 3.37-3.72, 2 Ca 3.64-3.69, 1 Ho 3.70
Nd 0.1467 0.0000 0.2500  6 Nd 3.33-3.72, 2 Ho 3.41, 1 Ca 3.54
Nd 0.5449 0.7744 0.0368  4 Nd 3.33-3.66, 2 Ca 3.56-3.59, 1 Ho 3.57
Nd 0.4551 0.2256 0.9632  4 Nd 3.33-3.66, 2 Ca 3.56-3.59, 1 Ho 3.57
Nd 0.8533 0.0000 0.7500  6 Nd 3.33-3.72, 2 Ho 3.41, 1 Ca 3.54
Nd 0.6111 0.5875 0.3386  4 Nd 3.37-3.72, 2 Ca 3.64-3.69, 1 Ho 3.70
Nd 0.2295 0.7744 0.5369  4 Nd 3.33-3.66, 2 Ca 3.56-3.59, 1 Ho 3.57
Nd 0.9764 0.5875 0.8386  4 Nd 3.37-3.72, 2 Ca 3.64-3.69, 1 Ho 3.70
Ho 0.0000 0.0000 0.0000  6 Nd 3.41-3.70
Ho 0.0000 0.0000 0.5000  6 Nd 3.41-3.70

Properties
**SG**: C2/c
**Uncorrected energy**: -29.53 eV per formula unit